VASP calculation (PBE) on crystalline Tb2CrNi9 at its relaxed geometry.

```
Tb2CrNi9
1.0
2.4459 1.4122 8.0584
-2.4459 1.4122 8.0584
0.0000 -2.8243 8.0584
Tb Cr Ni
2 1 9
direct
0.1348 0.1348 0.1348 Tb
0.8652 0.8652 0.8652 Tb
0.0000 0.0000 0.0000 Cr
0.0799 0.5811 0.5811 Ni
0.3331 0.3331 0.3331 Ni
0.4189 0.4189 0.9201 Ni
0.4189 0.9201 0.4189 Ni
0.5000 0.5000 0.5000 Ni
0.5811 0.0799 0.5811 Ni
0.5811 0.5811 0.0799 Ni
0.6669 0.6669 0.6669 Ni
0.9201 0.4189 0.4189 Ni
```

Values from the calculation:
Calculated density, Mg/m³: 8.93
Space-group type: R-3m, No. 166
Total magnetic moment, μB/atom: 0.5211
E, eV/atom: -6.053

---

VASP calculation (PBE) on crystalline CaSn2PBr at its relaxed geometry.

```
CaSn2PBr
1.0
5.1618 0.0000 0.0000
0.0000 5.1618 0.0000
0.0000 0.0000 5.7817
Ca Sn P Br
1 2 1 1
direct
0.0000 0.0000 0.0000 Ca
0.0000 0.5000 0.5000 Sn
0.5000 0.0000 0.5000 Sn
0.5000 0.5000 0.5000 P
0.5000 0.5000 0.0000 Br
```

Values from the calculation:
Calculated density, Mg/m³: 4.19
Raw formation energy, meV/atom: 64.9
Space-group type: P4/mmm, No. 123
Total magnetic moment, μB/atom: 0.0000
E, eV/atom: -3.353

---

VASP calculation (PBE) on crystalline KLaPbBr6 at its relaxed geometry.

```
KLaPbBr6
1.0
7.8020 0.0000 0.0000
-3.9010 6.7568 0.0000
0.0000 0.0000 14.2458
K La Pb Br
2 2 2 12
direct
0.0000 0.0000 0.0000 K
0.0000 0.0000 0.5000 K
0.3333 0.6667 0.2500 La
0.6667 0.3333 0.7500 La
0.3333 0.6667 0.7500 Pb
0.6667 0.3333 0.2500 Pb
0.0098 0.3668 0.1322 Br
0.0098 0.6430 0.3678 Br
0.3570 0.3668 0.3678 Br
0.3570 0.9902 0.1322 Br
0.3668 0.0098 0.6322 Br
0.3668 0.3570 0.8678 Br
0.6332 0.6430 0.1322 Br
0.6332 0.9902 0.3678 Br
0.6430 0.0098 0.8678 Br
0.6430 0.6332 0.6322 Br
0.9902 0.3570 0.6322 Br
0.9902 0.6332 0.8678 Br
```

Values from the calculation:
Calculated density, Mg/m³: 3.82
Raw formation energy, meV/atom: -1595.6
Space-group type: P-31c, No. 163
Total magnetic moment, μB/atom: 0.0000
E, eV/atom: -3.792